The following is a GGA-PBEsol calculation of an optimized crystal structure of ErClO, from Alexandria.

Summary:
- Total moment: 0.00 Bohr magnetons per cell
- Raw formation energy: -72.7 kcal/mol of atoms
- Electronic total energy: -21.6 eV/f.u.

abc: 3.8140 3.8140 6.5323
angles: 90.00 90.00 90.00
Sites, in units of the cell vectors:
Er1 0.2500 0.2500 0.1686
Er2 0.7500 0.7500 0.8314
Cl1 0.2500 0.2500 0.6272
Cl2 0.7500 0.7500 0.3728
O1 0.2500 0.7500 0.0000
O2 0.7500 0.2500 0.0000